No. 1
! Tb4PrSm2Tm2 PBE relaxed; values from VASP
! - Total DFT energy (no corrections): -0.339 Ry/atom
! - Density of states at the Fermi level: 1.4256 states/eV per atom
! - Formation enthalpy at 0 K: 0.021 eV per atom
&SYSTEM
  ibrav = 0, nat = 9, ntyp = 4
/
ATOMIC_SPECIES
Tb 158.93 Tb.upf
Pr 140.91 Pr.upf
Sm 150.36 Sm.upf
Tm 168.93 Tm.upf
CELL_PARAMETERS angstrom
7.5889 -2.5291 0.0000
7.5889 2.5291 0.0000
-2.5329 0.0000 7.5800
ATOMIC_POSITIONS angstrom
Tb 0.0089 0.0000 2.5257
Tb 2.5263 0.0000 5.0664
Tb 10.1185 0.0000 2.5136
Tb 12.6360 0.0000 5.0543
Pr 7.5889 0.0000 0.0000
Sm 5.0496 0.0000 2.5346
Sm 7.5952 0.0000 5.0454
Tm 2.5545 0.0000 0.0016
Tm 10.0904 0.0000 7.5784



No. 2
! Ba3HoAs3 PBE relaxed; values from VASP
! - Total DFT energy (no corrections): -0.341 Ry/atom
! - Formation enthalpy at 0 K: -1.165 eV per atom
&SYSTEM
  ibrav = 0, nat = 28, ntyp = 3
/
ATOMIC_SPECIES
Ba 137.33 Ba.upf
Ho 164.93 Ho.upf
As 74.92 As.upf
CELL_PARAMETERS angstrom
9.5814 0.0000 0.0000
0.0000 8.3545 0.0000
-1.0974 0.0000 13.2777
ATOMIC_POSITIONS angstrom
Ba 0.6317 1.3219 1.7892
Ba 0.0829 2.8553 8.4281
Ba 2.3198 6.1285 10.5813
Ba 2.8686 6.4032 3.9424
Ba 2.7750 1.9319 12.2649
Ba 3.3237 2.2453 5.6260
Ba 5.1603 6.1091 7.6517
Ba 5.7090 6.4225 1.0128
Ba 5.6154 1.9513 9.3353
Ba 6.1641 2.2260 2.6964
Ba 8.4010 5.4992 4.8496
Ba 7.8523 7.0325 11.4885
Ho 1.5067 4.9612 0.7486
Ho 0.9580 7.5705 7.3874
Ho 7.5260 0.7840 5.8903
Ho 6.9773 3.3933 12.5291
As 0.5533 0.3796 4.8917
As 0.0046 3.7977 11.5305
As 1.9538 5.0463 6.8794
As 2.5025 7.4854 0.2406
As 2.7635 0.6776 8.8606
As 3.3122 3.4997 2.2218
As 5.1718 4.8548 11.0559
As 5.7205 7.6769 4.4171
As 5.9815 0.8691 13.0371
As 6.5302 3.3082 6.3983
As 8.4794 4.5568 1.7472
As 7.9307 7.9749 8.3860



No. 3
! SrTa2Re PBE relaxed; values from VASP
! - Offset from the most stable computed form: 93 meV per atom
! - Total DFT energy (no corrections): -0.653 Ry/atom
! - Density of states at the Fermi level: 0.9591 states/eV per atom
! - Formation enthalpy at 0 K: 0.570 eV per atom
&SYSTEM
  ibrav = 0, nat = 4, ntyp = 3
/
ATOMIC_SPECIES
Sr 87.62 Sr.upf
Ta 180.95 Ta.upf
Re 186.21 Re.upf
CELL_PARAMETERS angstrom
1.6594 -2.4198 0.0000
1.6594 2.4198 0.0000
0.0000 0.0000 10.0622
ATOMIC_POSITIONS angstrom
Sr 0.0000 0.0000 0.0000
Ta 0.0000 0.0000 5.3568
Ta 1.6594 0.0000 3.0588
Re 1.6594 0.0000 7.4015



No. 4
! NaEuCuAu PBE relaxed; values from VASP
! - Total DFT energy (no corrections): -0.365 Ry/atom
! - Density of states at the Fermi level: 2.6866 states/eV per atom
! - Formation enthalpy at 0 K: -0.225 eV per atom
&SYSTEM
  ibrav = 0, nat = 4, ntyp = 4
/
ATOMIC_SPECIES
Na 22.99 Na.upf
Eu 151.96 Eu.upf
Cu 63.55 Cu.upf
Au 196.97 Au.upf
CELL_PARAMETERS angstrom
0.0000 3.6144 3.6144
3.6144 0.0000 3.6144
3.6144 3.6144 0.0000
ATOMIC_POSITIONS angstrom
Na 0.0000 0.0000 0.0000
Eu 3.6144 3.6144 3.6144
Cu 5.4216 5.4216 5.4216
Au 1.8072 1.8072 1.8072